# 1
Here is a relaxed structure of AcTmSbO5 from Alexandria via LeMat-Bulk. Energies are from PBE.

Results
Its space group is C2/c.

a = 6.209 Å, b = 6.209 Å, c = 8.300 Å
α = 107.10°, β = 107.10°, γ = 102.22°
Positions (direct):
Ac (0.186, 0.814, 0.750)
Ac (0.814, 0.186, 0.250)
Tm (0.500, 0.500, 0.000)
Tm (0.500, 0.500, 0.500)
Sb (0.195, 0.805, 0.250)
Sb (0.805, 0.195, 0.750)
O (0.131, 0.242, 0.903)
O (0.166, 0.613, 0.415)
O (0.242, 0.131, 0.403)
O (0.387, 0.834, 0.085)
O (0.428, 0.572, 0.750)
O (0.572, 0.428, 0.250)
O (0.613, 0.166, 0.915)
O (0.758, 0.869, 0.597)
O (0.834, 0.387, 0.585)
O (0.869, 0.758, 0.097)


# 2
Here is a relaxed structure of Ac2TmSb2O2 from Alexandria via LeMat-Bulk. Energies are from PBE.

Results
Its space group is I4/mmm.

a = 9.090 Å, b = 9.090 Å, c = 9.090 Å
α = 151.47°, β = 151.47°, γ = 40.78°
Positions (direct):
Ac (0.115, 0.115, 0.000)
Ac (0.885, 0.885, 0.000)
Tm (0.500, 0.500, 0.000)
Sb (0.315, 0.315, 0.000)
Sb (0.685, 0.685, 0.000)
O (0.000, 0.500, 0.500)
O (0.500, 0.000, 0.500)


# 3
Here is a relaxed structure of Ac2TmSbO8 from Alexandria via LeMat-Bulk. Energies are from PBE.

Results
Its space group is P2/m.

a = 4.560 Å, b = 7.178 Å, c = 5.597 Å
α = 90.00°, β = 93.73°, γ = 90.00°
Positions (direct):
Ac (0.000, 0.247, 0.000)
Ac (0.000, 0.753, 0.000)
Tm (0.500, 0.500, 0.500)
Sb (0.500, 0.000, 0.500)
O (0.069, 0.000, 0.385)
O (0.093, 0.500, 0.257)
O (0.451, 0.211, 0.733)
O (0.451, 0.789, 0.733)
O (0.549, 0.211, 0.267)
O (0.549, 0.789, 0.267)
O (0.907, 0.500, 0.743)
O (0.931, 0.000, 0.615)


# 4
Here is a relaxed structure of AcTmSbO6 from Alexandria via LeMat-Bulk. Energies are from PBE.

Results
Its space group is P312.

a = 5.640 Å, b = 5.640 Å, c = 5.253 Å
α = 90.00°, β = 90.00°, γ = 120.00°
Positions (direct):
Ac (0.000, 0.000, 0.000)
Tm (0.333, 0.667, 0.500)
Sb (0.667, 0.333, 0.500)
O (0.377, 0.029, 0.714)
O (0.377, 0.348, 0.286)
O (0.652, 0.029, 0.286)
O (0.652, 0.623, 0.714)
O (0.971, 0.348, 0.714)
O (0.971, 0.623, 0.286)


no.,magnetization (μB/f.u.),uncorrected formation energy (eV per atom)
1,0.8,-2.59
2,0.0,-2.05
3,0.0,-2.45
4,1.1,-2.46